Entry from the Alexandria database: a geometry-optimized Tb3UP4 structure (PBE).

Structure (POSCAR):
```
Tb3UP4
1.0
3.989 0.000 0.000
0.000 6.554 -2.232
0.000 -0.051 6.923
Tb P U
3 4 1
direct
0.000 0.500 0.000
0.500 0.500 0.500
0.000 0.000 0.500
0.500 0.755 0.245
0.000 0.756 0.756
0.000 0.244 0.244
0.500 0.245 0.755
0.500 0.000 0.000
```

For the raw total energy, the calculation gives -7.305 eV/atom. The value obtained for the magnetization is 2.06 Bohr magnetons per cell.